No. 1
The following is a DFT calculation (meta-GGA SCAN) of a PBEsol-optimized structure of FeNiH2.

```
FeNiH2
1.0
-0.446 2.963 -2.373
-3.553 -1.167 -0.791
0.680 1.185 4.431
Ni H Fe
2 4 2
direct
0.250 0.750 0.500 Ni
0.000 0.000 0.000 Ni
0.363 0.875 0.250 H
0.625 0.637 0.750 H
0.125 0.113 0.750 H
0.887 0.375 0.250 H
0.750 0.250 0.500 Fe
0.500 0.500 0.000 Fe
```

## Properties
symmetry	I-42d

No. 2
The following is a DFT calculation (meta-GGA SCAN) of a PBEsol-optimized structure of TaFe2NiH.

```
TaFe2NiH
1.0
4.259 0.000 0.000
0.000 4.259 0.000
0.000 0.000 4.514
Fe H Ni Ta
2 1 1 1
direct
0.500 0.000 0.000 Fe
0.000 0.500 0.000 Fe
0.500 0.500 0.500 H
0.000 0.000 0.000 Ni
0.000 0.000 0.500 Ta
```

## Properties
symmetry	P4/mmm

No. 3
The following is a DFT calculation (meta-GGA SCAN) of a PBEsol-optimized structure of Fe2P2H4O9.

```
Fe2P2H4O9
1.0
6.500 0.215 0.000
-0.529 7.293 0.000
0.000 0.000 13.463
O P H Fe
36 8 16 8
direct
0.048 0.859 0.354 O
0.548 0.359 0.146 O
0.749 0.095 0.264 O
0.912 0.490 0.128 O
0.807 0.102 0.473 O
0.446 0.374 0.347 O
0.670 0.338 0.584 O
0.249 0.595 0.236 O
0.054 0.126 0.847 O
0.387 0.318 0.712 O
0.223 0.293 0.505 O
0.588 0.045 0.866 O
0.113 0.182 0.212 O
0.452 0.641 0.854 O
0.751 0.405 0.764 O
0.830 0.162 0.084 O
0.693 0.398 0.973 O
0.412 0.955 0.134 O
0.887 0.818 0.788 O
0.330 0.662 0.416 O
0.723 0.793 0.995 O
0.952 0.141 0.646 O
0.277 0.207 0.005 O
0.554 0.626 0.653 O
0.946 0.874 0.153 O
0.088 0.545 0.634 O
0.193 0.898 0.527 O
0.588 0.010 0.628 O
0.088 0.510 0.872 O
0.613 0.682 0.288 O
0.307 0.602 0.027 O
0.777 0.707 0.495 O
0.412 0.990 0.372 O
0.251 0.905 0.736 O
0.912 0.455 0.366 O
0.170 0.838 0.916 O
0.757 0.132 0.581 P
0.585 0.428 0.684 P
0.743 0.368 0.081 P
0.243 0.868 0.419 P
0.415 0.572 0.316 P
0.085 0.928 0.816 P
0.257 0.632 0.919 P
0.915 0.072 0.184 P
0.168 0.659 0.650 H
0.659 0.986 0.923 H
0.178 0.183 0.948 H
0.410 0.244 0.974 H
0.668 0.159 0.850 H
0.841 0.514 0.423 H
0.341 0.014 0.077 H
0.590 0.756 0.026 H
0.090 0.256 0.474 H
0.832 0.341 0.350 H
0.910 0.744 0.526 H
0.159 0.486 0.577 H
0.678 0.683 0.552 H
0.822 0.817 0.052 H
0.332 0.841 0.150 H
0.322 0.317 0.448 H
0.765 0.607 0.873 Fe
0.925 0.666 0.258 Fe
0.735 0.893 0.373 Fe
0.075 0.334 0.742 Fe
0.425 0.166 0.242 Fe
0.575 0.834 0.758 Fe
0.235 0.393 0.127 Fe
0.265 0.107 0.627 Fe
```

## Properties
symmetry	P2_1/c

No. 4
The following is a DFT calculation (meta-GGA SCAN) of a PBEsol-optimized structure of VFeP2H2O10.

```
VFeP2H2O10
1.0
-2.703 2.985 3.097
-3.319 -0.598 -3.995
0.542 -6.588 3.118
O Fe H P V
10 1 2 2 1
direct
0.757 0.343 0.652 O
0.768 0.620 0.394 O
0.176 0.285 0.912 O
0.338 0.157 0.281 O
0.662 0.843 0.719 O
0.824 0.715 0.088 O
0.243 0.657 0.348 O
0.232 0.380 0.606 O
0.198 0.763 0.884 O
0.802 0.237 0.116 O
0.000 0.000 0.000 Fe
0.353 0.987 0.318 H
0.647 0.013 0.682 H
0.901 0.550 0.228 P
0.099 0.450 0.772 P
0.500 0.500 0.500 V
```

## Properties
symmetry	P-1

| no. | calculated volume (Å³/cell) | uncorrected energy (eV/atom) |
| --- | --- | --- |
| 1 | 55.04 | -10.2669 |
| 2 | 81.89 | -22.9979 |
| 3 | 639.71 | -9.2100 |
| 4 | 169.34 | -9.8915 |